A geometry-optimized NdSm2Sc structure, computed with PBE. Values from VASP.

- symmetry = P4/mmm (123)
- formation enthalpy at 0 K (meV/atom) = 47
- DFT total energy (eV per atom) = -5.09

Structure (Quantum ESPRESSO input):
```
&SYSTEM
  ibrav = 0, nat = 4, ntyp = 3
/
ATOMIC_SPECIES
Sc 44.96 Sc.upf
Sm 150.36 Sm.upf
Nd 144.24 Nd.upf
ATOMIC_POSITIONS crystal
Sc 0.500 0.500 0.000
Sm 0.000 0.000 0.766
Sm 0.000 0.000 0.234
Nd 0.500 0.500 0.500
CELL_PARAMETERS angstrom
3.582 0.000 0.000
0.000 3.582 0.000
0.000 0.000 9.894
```

=====

A geometry-optimized CeY4S6 structure, computed with PBE. Values from VASP.

- symmetry = Cmcm (63)
- DFT total energy (eV per atom) = -7.18

Structure (Quantum ESPRESSO input):
```
&SYSTEM
  ibrav = 0, nat = 22, ntyp = 3
/
ATOMIC_SPECIES
Y 88.91 Y.upf
S 32.06 S.upf
Ce 140.12 Ce.upf
ATOMIC_POSITIONS crystal
Y 0.861 0.722 0.541
S 0.686 0.373 0.750
S 0.046 0.093 0.334
S 0.231 0.462 0.589
S 0.769 0.538 0.089
S 0.954 0.907 0.666
Y 0.408 0.816 0.127
Ce 0.655 0.311 0.250
S 0.046 0.093 0.166
S 0.314 0.627 0.250
S 0.769 0.538 0.411
S 0.500 0.000 0.500
Y 0.408 0.816 0.373
Y 0.592 0.184 0.627
Y 0.139 0.278 0.459
Y 0.861 0.722 0.959
S 0.231 0.462 0.911
S 0.954 0.907 0.834
Ce 0.345 0.689 0.750
Y 0.139 0.278 0.041
Y 0.592 0.184 0.873
S 0.500 0.000 0.000
CELL_PARAMETERS angstrom
3.894 0.000 0.000
-1.947 6.472 0.000
0.000 0.000 19.819
```

=====

A geometry-optimized Ca2C structure, computed with PBE. Values from VASP.

- symmetry = Cmcm (63)
- formation enthalpy at 0 K (meV/atom) = 543
- DFT total energy (eV per atom) = -3.87

Structure (Quantum ESPRESSO input):
```
&SYSTEM
  ibrav = 0, nat = 6, ntyp = 2
/
ATOMIC_SPECIES
C 12.01 C.upf
Ca 40.08 Ca.upf
ATOMIC_POSITIONS crystal
C 0.926 0.074 0.750
C 0.074 0.926 0.250
Ca 0.669 0.331 0.250
Ca 0.451 0.549 0.250
Ca 0.331 0.669 0.750
Ca 0.549 0.451 0.750
CELL_PARAMETERS angstrom
1.585 -9.822 0.000
1.585 9.822 0.000
0.000 0.000 4.411
```